Below is an optimized crystal structure of ScPaAg, with properties calculated at the PBE level.

Values from the calculation:
Its space-group type is F-43m (216). The value obtained for the energy above the most stable polymorph in this dataset is 0.000 eV per atom.

a b c (Å): 4.8224 4.8224 4.8224
angles (deg): 60.00 60.00 60.00
Closest atoms and distances in Å follow each position.
Fractional positions:
Sc (0.0000, 0.0000, 0.0000)  4 Ag 2.95
Pa (0.5000, 0.5000, 0.5000)  4 Ag 2.95
Ag (0.7500, 0.7500, 0.7500)  4 Pa 2.95, 4 Sc 2.95


Below is an optimized crystal structure of ScPaAg, with properties calculated at the PBE level.

Values from the calculation:
Its space-group type is F-43m (216). The value obtained for the energy above the most stable polymorph in this dataset is 0.377 eV per atom.

a b c (Å): 4.7878 4.7878 4.7878
angles (deg): 60.00 60.00 60.00
Closest atoms and distances in Å follow each position.
Fractional positions:
Sc (0.0000, 0.0000, 0.0000)  4 Pa 2.93
Pa (0.7500, 0.7500, 0.7500)  4 Ag 2.93, 4 Sc 2.93
Ag (0.5000, 0.5000, 0.5000)  4 Pa 2.93


Below is an optimized crystal structure of PaSiAg, with properties calculated at the PBE level.

Values from the calculation:
Its space-group type is F-43m (216). The value obtained for the energy above the most stable polymorph in this dataset is 0.000 eV per atom.

a b c (Å): 4.6116 4.6116 4.6116
angles (deg): 60.00 60.00 60.00
Closest atoms and distances in Å follow each position.
Fractional positions:
Pa (0.0000, 0.0000, 0.0000)  4 Si 2.82
Si (0.7500, 0.7500, 0.7500)  4 Ag 2.82, 4 Pa 2.82
Ag (0.5000, 0.5000, 0.5000)  4 Si 2.82


Below is an optimized crystal structure of PaSiAg, with properties calculated at the PBE level.

Values from the calculation:
Its space-group type is F-43m (216). The value obtained for the energy above the most stable polymorph in this dataset is 0.282 eV per atom.

a b c (Å): 4.7510 4.7510 4.7510
angles (deg): 60.00 60.00 60.00
Closest atoms and distances in Å follow each position.
Fractional positions:
Pa (0.0000, 0.0000, 0.0000)  4 Ag 2.91, 4 Si 2.91
Si (0.2500, 0.2500, 0.2500)  4 Pa 2.91
Ag (0.7500, 0.7500, 0.7500)  4 Pa 2.91


Below is an optimized crystal structure of SmPaAg, with properties calculated at the PBE level.

Values from the calculation:
Its space-group type is F-43m (216). The value obtained for the energy above the most stable polymorph in this dataset is 0.000 eV per atom.

a b c (Å): 5.0007 5.0007 5.0007
angles (deg): 60.00 60.00 60.00
Closest atoms and distances in Å follow each position.
Fractional positions:
Sm (0.0000, 0.0000, 0.0000)  4 Ag 3.06
Pa (0.5000, 0.5000, 0.5000)  4 Ag 3.06
Ag (0.7500, 0.7500, 0.7500)  4 Pa 3.06, 4 Sm 3.06


Below is an optimized crystal structure of PaTaAg, with properties calculated at the PBE level.

Values from the calculation:
Its space-group type is F-43m (216). The value obtained for the energy above the most stable polymorph in this dataset is 0.295 eV per atom.

a b c (Å): 4.7321 4.7321 4.7321
angles (deg): 60.00 60.00 60.00
Closest atoms and distances in Å follow each position.
Fractional positions:
Pa (0.0000, 0.0000, 0.0000)  4 Ag 2.90, 4 Ta 2.90
Ta (0.2500, 0.2500, 0.2500)  4 Pa 2.90
Ag (0.7500, 0.7500, 0.7500)  4 Pa 2.90


Below is an optimized crystal structure of PaTaAg, with properties calculated at the PBE level.

Values from the calculation:
Its space-group type is F-43m (216). The value obtained for the energy above the most stable polymorph in this dataset is 0.000 eV per atom.

a b c (Å): 4.6896 4.6896 4.6896
angles (deg): 60.00 60.00 60.00
Closest atoms and distances in Å follow each position.
Fractional positions:
Pa (0.0000, 0.0000, 0.0000)  4 Ag 2.87
Ta (0.5000, 0.5000, 0.5000)  4 Ag 2.87
Ag (0.2500, 0.2500, 0.2500)  4 Ta 2.87, 4 Pa 2.87


Below is an optimized crystal structure of TmPaAg, with properties calculated at the PBE level.

Values from the calculation:
Its space-group type is F-43m (216). The value obtained for the energy above the most stable polymorph in this dataset is 0.000 eV per atom.

a b c (Å): 4.9309 4.9309 4.9309
angles (deg): 60.00 60.00 60.00
Closest atoms and distances in Å follow each position.
Fractional positions:
Tm (0.0000, 0.0000, 0.0000)  4 Ag 3.02
Pa (0.5000, 0.5000, 0.5000)  4 Ag 3.02
Ag (0.7500, 0.7500, 0.7500)  4 Tm 3.02, 4 Pa 3.02


Below is an optimized crystal structure of PaAgW, with properties calculated at the PBE level.

Values from the calculation:
Its space-group type is F-43m (216). The value obtained for the energy above the most stable polymorph in this dataset is 0.000 eV per atom.

a b c (Å): 4.5836 4.5836 4.5836
angles (deg): 60.00 60.00 60.00
Closest atoms and distances in Å follow each position.
Fractional positions:
Pa (0.0000, 0.0000, 0.0000)  4 W 2.81
Ag (0.5000, 0.5000, 0.5000)  4 W 2.81
W (0.2500, 0.2500, 0.2500)  4 Ag 2.81, 4 Pa 2.81


Below is an optimized crystal structure of PaAgW, with properties calculated at the PBE level.

Values from the calculation:
Its space-group type is F-43m (216). The value obtained for the energy above the most stable polymorph in this dataset is 0.411 eV per atom.

a b c (Å): 4.6577 4.6577 4.6577
angles (deg): 60.00 60.00 60.00
Closest atoms and distances in Å follow each position.
Fractional positions:
Pa (0.0000, 0.0000, 0.0000)  4 W 2.85, 4 Ag 2.85
Ag (0.7500, 0.7500, 0.7500)  4 Pa 2.85
W (0.2500, 0.2500, 0.2500)  4 Pa 2.85